(1)
# NiMoPb2

A crystal of NiMoPb2 relaxed with PBEsol (meta-GGA SCAN, the Alexandria database).

Properties
The calculation puts the calculated volume at 18.5 Å³/atom. The calculated formation energy comes out at 0.816 eV per atom.

Lattice parameters (Å, degrees): 4.711 4.711 4.711 60.00 60.00 60.00
Positions (direct):
1 Ni 0.000 0.000 0.000
2 Mo 0.500 0.500 0.500
3 Pb 0.250 0.250 0.250
4 Pb 0.750 0.750 0.750

---

(2)
# NiMoPb2

A crystal of NiMoPb2 relaxed with PBEsol (meta-GGA SCAN, the Alexandria database).

Properties
The calculation puts the calculated volume at 18.8 Å³/atom. The calculated formation energy comes out at 0.696 eV per atom.

Lattice parameters (Å, degrees): 3.203 3.203 8.653 79.33 79.33 60.00
Positions (direct):
1 Mo 0.500 0.500 0.500
2 Ni 0.000 0.000 0.000
3 Pb 0.745 0.745 0.766
4 Pb 0.255 0.255 0.234

---

(3)
# NiMo3Pb

A crystal of NiMo3Pb relaxed with PBEsol (meta-GGA SCAN, the Alexandria database).

Properties
The calculation puts the calculated volume at 18.0 Å³/atom. The calculated formation energy comes out at 1.274 eV per atom.

Lattice parameters (Å, degrees): 4.485 4.485 4.485 90.00 90.00 90.00
Positions (direct):
1 Mo 0.000 0.500 0.000
2 Pb 0.500 0.500 0.500
3 Mo 0.000 0.000 0.500
4 Ni 0.000 0.000 0.000
5 Mo 0.500 0.000 0.000

---

(4)
# NiMo2Pb

A crystal of NiMo2Pb relaxed with PBEsol (meta-GGA SCAN, the Alexandria database).

Properties
The calculation puts the calculated volume at 16.8 Å³/atom. The calculated formation energy comes out at 0.529 eV per atom.

Lattice parameters (Å, degrees): 3.250 3.250 6.346 90.00 90.00 90.00
Positions (direct):
1 Mo 0.000 0.000 0.818
2 Ni 0.500 0.500 0.000
3 Mo 0.000 0.000 0.182
4 Pb 0.500 0.500 0.500

---

(5)
# NiMo2Pt

A crystal of NiMo2Pt relaxed with PBEsol (meta-GGA SCAN, the Alexandria database).

Properties
The calculation puts the calculated volume at 13.9 Å³/atom. The calculated formation energy comes out at -0.192 eV per atom.

Lattice parameters (Å, degrees): 3.711 3.711 4.806 112.71 112.71 90.00
Positions (direct):
1 Mo 0.750 0.250 0.500
2 Mo 0.250 0.750 0.500
3 Ni 0.500 0.500 0.000
4 Pt 0.000 0.000 0.000

---

(6)
# Ni2MoPt

A crystal of Ni2MoPt relaxed with PBEsol (meta-GGA SCAN, the Alexandria database).

Properties
The calculation puts the calculated volume at 12.9 Å³/atom. The calculated formation energy comes out at -0.077 eV per atom.

Lattice parameters (Å, degrees): 2.642 4.452 4.655 99.31 90.00 107.26
Positions (direct):
1 Mo 0.500 0.000 0.000
2 Ni 0.250 0.501 0.236
3 Pt 0.000 0.000 0.500
4 Ni 0.750 0.499 0.764